# 1
ReTc2As: relaxed, PBE.

Unit cell a=4.0053 b=2.8412 c=5.4199 alpha=74.81 beta=90.00 gamma=90.00
Element x y z (fractional)
Re: 0.5000 0.5563 0.7651
As: 0.0000 0.7026 0.4669
Tc: 0.0000 0.9422 0.9919
Tc: 0.5000 0.2989 0.2761

Values from the calculation:
- crystal system = monoclinic
- energy of formation (eV/atom) = 0.123
- final energy (eV per formula unit) = -37.336

=====

# 2
ReTc2As: relaxed, PBE.

Unit cell a=4.0954 b=4.0954 c=5.0973 alpha=66.31 beta=66.31 gamma=60.00
Element x y z (fractional)
As: 0.6699 0.6699 0.9902
Re: 0.4831 0.4831 0.5508
Tc: 0.2665 0.2665 0.2006
Tc: 0.0806 0.0806 0.7583

Values from the calculation:
- crystal system = trigonal
- energy of formation (eV/atom) = 0.235
- final energy (eV per formula unit) = -36.891

=====

# 3
ReTcAs2: relaxed, PBE.

Unit cell a=2.8720 b=4.0253 c=5.3090 alpha=90.00 beta=90.00 gamma=90.00
Element x y z (fractional)
Re: 0.0000 0.0000 0.4738
As: 0.5000 0.5000 0.2978
As: 0.0000 0.0000 0.9529
Tc: 0.5000 0.5000 0.7755

Values from the calculation:
- crystal system = orthorhombic
- energy of formation (eV/atom) = 0.134
- final energy (eV per formula unit) = -31.578

=====

# 4
ReTc2As: relaxed, PBE.

Unit cell a=5.1755 b=5.1755 c=5.1755 alpha=146.57 beta=129.40 gamma=62.01
Element x y z (fractional)
Re: 0.2731 0.7731 0.5000
Tc: 0.0018 0.0018 0.0000
As: 0.5006 0.5006 0.0000
Tc: 0.7244 0.2244 0.5000

Values from the calculation:
- crystal system = orthorhombic
- energy of formation (eV/atom) = 0.071
- final energy (eV per formula unit) = -37.548

=====

# 5
ReTc2As: relaxed, PBE.

Unit cell a=8.6744 b=8.6744 c=8.6744 alpha=18.84 beta=18.84 gamma=18.84
Element x y z (fractional)
Tc: 0.9999 0.9999 0.9999
Re: 0.7508 0.7508 0.7508
Tc: 0.2482 0.2482 0.2482
As: 0.5011 0.5011 0.5011

Values from the calculation:
- crystal system = trigonal
- energy of formation (eV/atom) = 0.146
- final energy (eV per formula unit) = -37.246

=====

# 6
ReTc2As: relaxed, PBE.

Unit cell a=4.7813 b=4.7813 c=4.5914 alpha=74.83 beta=74.83 gamma=36.32
Element x y z (fractional)
Tc: 0.7627 0.7627 0.6847
Re: 0.2486 0.2486 0.1958
Tc: 0.9877 0.9877 0.0706
As: 0.5010 0.5010 0.5490

Values from the calculation:
- crystal system = monoclinic
- energy of formation (eV/atom) = 0.111
- final energy (eV per formula unit) = -37.385

=====

# 7
ReTc2As: relaxed, PBE.

Unit cell a=2.7824 b=2.7824 c=8.7954 alpha=90.00 beta=90.00 gamma=116.12
Element x y z (fractional)
Tc: 0.0000 0.0000 0.0003
Re: 0.5000 0.5000 0.7537
Tc: 0.5000 0.5000 0.2516
As: 0.0000 0.0000 0.4943

Values from the calculation:
- crystal system = orthorhombic
- energy of formation (eV/atom) = 0.474
- final energy (eV per formula unit) = -35.936

=====

# 8
ReTc2As: relaxed, PBE.

Unit cell a=3.0233 b=4.4280 c=4.4280 alpha=90.00 beta=90.00 gamma=90.00
Element x y z (fractional)
Tc: 0.0000 0.5000 0.5000
Re: 0.5000 0.0000 0.5000
As: 0.5000 0.5000 0.0000
Tc: 0.0000 0.0000 0.0000

Values from the calculation:
- crystal system = tetragonal
- energy of formation (eV/atom) = 0.195
- final energy (eV per formula unit) = -37.048

=====

# 9
Re3TcAs: relaxed, PBE.

Unit cell a=4.4847 b=4.4847 c=4.4847 alpha=90.00 beta=90.00 gamma=90.00
Site moments in Bohr magnetons follow the coordinates.
Element x y z (fractional)
Re: 0.0000 0.5000 0.0000  -0.18
As: 0.0000 0.0000 0.0000  0.03
Re: 0.5000 0.0000 0.0000  -0.14
Tc: 0.5000 0.5000 0.5000  1.96
Re: 0.0000 0.0000 0.5000  -0.06

Values from the calculation:
- crystal system = cubic
- energy of formation (eV/atom) = 1.781
- final energy (eV per formula unit) = -43.457

=====

# 10
ReTc2As: relaxed, PBE.

Unit cell a=2.8960 b=4.0261 c=5.1363 alpha=90.00 beta=90.00 gamma=90.00
Element x y z (fractional)
As: 0.0000 0.0000 0.4796
Re: 0.5000 0.5000 0.7673
Tc: 0.5000 0.5000 0.2805
Tc: 0.0000 0.0000 0.9726

Values from the calculation:
- crystal system = orthorhombic
- energy of formation (eV/atom) = 0.189
- final energy (eV per formula unit) = -37.073

=====

# 11
ReTcAs2: relaxed, PBE.

Unit cell a=5.5798 b=5.5798 c=6.7678 alpha=65.66 beta=65.66 gamma=90.00
Element x y z (fractional)
Tc: 0.2500 0.7500 0.5000
Re: 0.0000 0.0000 0.0000
Tc: 0.5000 0.5000 0.0000
As: 0.6256 0.1250 0.2500
As: 0.1244 0.6250 0.2500
As: 0.8750 0.8756 0.7500
Re: 0.7500 0.2500 0.5000
As: 0.3750 0.3744 0.7500

Values from the calculation:
- crystal system = tetragonal
- energy of formation (eV/atom) = 0.653
- final energy (eV per formula unit) = -29.502

=====

# 12
ReTcAs2: relaxed, PBE.

Unit cell a=2.9938 b=2.9938 c=8.0750 alpha=90.00 beta=90.00 gamma=118.94
Element x y z (fractional)
Re: 0.5000 0.5000 0.2500
Tc: 0.5000 0.5000 0.7500
As: 0.0000 0.0000 0.9980
As: 0.0000 0.0000 0.5020

Values from the calculation:
- crystal system = orthorhombic
- energy of formation (eV/atom) = 0.509
- final energy (eV per formula unit) = -30.077

=====

# 13
ReTcAs2: relaxed, PBE.

Unit cell a=4.7629 b=4.7629 c=4.7629 alpha=130.08 beta=130.08 gamma=73.28
Element x y z (fractional)
As: 0.2500 0.7500 0.5000
As: 0.0000 0.0000 0.0000
Re: 0.5000 0.5000 0.0000
Tc: 0.7500 0.2500 0.5000

Values from the calculation:
- crystal system = tetragonal
- energy of formation (eV/atom) = 0.430
- final energy (eV per formula unit) = -30.395

=====

# 14
ReTcAs2: relaxed, PBE.

Unit cell a=8.0151 b=8.0151 c=8.0151 alpha=21.56 beta=21.56 gamma=21.56
Element x y z (fractional)
Re: 0.2500 0.2500 0.2500
As: 0.0007 0.0007 0.0007
Tc: 0.7500 0.7500 0.7500
As: 0.4993 0.4993 0.4993

Values from the calculation:
- crystal system = trigonal
- energy of formation (eV/atom) = 0.245
- final energy (eV per formula unit) = -31.135

=====

# 15
ReTc2As: relaxed, PBE.

Unit cell a=5.1432 b=5.1432 c=5.1432 alpha=146.29 beta=128.88 gamma=62.65
Element x y z (fractional)
Re: 0.7500 0.2500 0.5000
Tc: 0.4754 0.4754 0.0000
As: 0.2500 0.7500 0.5000
Tc: 0.0246 0.0246 0.0000

Values from the calculation:
- crystal system = orthorhombic
- energy of formation (eV/atom) = 0.099
- final energy (eV per formula unit) = -37.435

=====

# 16
ReTcAs6: relaxed, PBE.

Unit cell a=6.0402 b=6.0402 c=5.6908 alpha=103.22 beta=103.22 gamma=119.59
Site moments in Bohr magnetons follow the coordinates.
Element x y z (fractional)
Re: 0.0000 0.0000 0.0000  0.14
As: 0.4531 0.0736 0.2156  0.00
As: 0.1945 0.1945 0.6927  0.00
As: 0.0736 0.4531 0.2156  0.00
As: 0.5469 0.9264 0.7844  0.00
As: 0.8055 0.8055 0.3073  0.00
Tc: 0.5000 0.5000 0.5000  0.11
As: 0.9264 0.5469 0.7844  0.00

Values from the calculation:
- crystal system = monoclinic
- energy of formation (eV/atom) = 0.288
- final energy (eV per formula unit) = -48.408

=====

# 17
ReTcAs: relaxed, PBE.

Unit cell a=2.9759 b=2.9759 c=11.7776 alpha=90.00 beta=90.00 gamma=120.00
Element x y z (fractional)
Tc: 0.6111 0.2222 0.0000
As: 0.6111 0.2222 0.6610
Re: 0.2778 0.5556 0.1785
Re: 0.2778 0.5556 0.8215
As: 0.6111 0.2222 0.3390
Tc: 0.2777 0.5553 0.5000

Values from the calculation:
- crystal system = hexagonal
- energy of formation (eV/atom) = 0.147
- final energy (eV per formula unit) = -27.021

=====

# 18
ReTcAs: relaxed, PBE.

Unit cell a=4.5711 b=4.5711 c=4.5711 alpha=142.87 beta=127.57 gamma=65.98
Element x y z (fractional)
As: 0.9997 0.9997 0.0000
Tc: 0.6726 0.6726 0.0000
Re: 0.3276 0.3276 0.0000

Values from the calculation:
- crystal system = orthorhombic
- energy of formation (eV/atom) = 0.238
- final energy (eV per formula unit) = -26.751

=====

# 19
ReTcAs2: relaxed, PBE.

Unit cell a=2.8316 b=2.8316 c=10.1333 alpha=90.00 beta=90.00 gamma=118.82
Element x y z (fractional)
Tc: 0.5000 0.5000 0.7348
Re: 0.0000 0.0000 0.5177
As: 0.5000 0.5000 0.3001
As: 0.0000 0.0000 0.9473

Values from the calculation:
- crystal system = orthorhombic
- energy of formation (eV/atom) = 0.325
- final energy (eV per formula unit) = -30.814

=====

# 20
ReTcAs2: relaxed, PBE.

Unit cell a=10.3364 b=10.3364 c=10.3364 alpha=16.36 beta=16.36 gamma=16.36
Element x y z (fractional)
As: 0.2231 0.2231 0.2231
As: 0.0272 0.0272 0.0272
Re: 0.4940 0.4940 0.4940
Tc: 0.7556 0.7556 0.7556

Values from the calculation:
- crystal system = trigonal
- energy of formation (eV/atom) = 0.071
- final energy (eV per formula unit) = -31.829